Record 1
Crystalline Mg2NpCoO6 at its relaxed geometry. Source: the Alexandria database, functional GGA+U.

The structure in CIF format:
```
data_Mg2NpCoO6
_symmetry_space_group_name_H-M 'R 3'
_symmetry_Int_Tables_number 146
_symmetry_space_group_name_Hall 'R 3'
_cell_length_a 5.3225
_cell_length_b 5.3225
_cell_length_c 14.3445
_cell_angle_alpha 90.00
_cell_angle_beta 90.00
_cell_angle_gamma 120.00
loop_
_atom_site_label
_atom_site_fract_x
_atom_site_fract_y
_atom_site_fract_z
Mg1 0.0000 0.0000 0.0000
Mg2 0.0000 0.0000 0.4935
Np1 0.0000 0.0000 0.6998
Co1 0.0000 0.0000 0.2062
O1 0.0316 0.3563 0.7703
O2 0.0346 0.6700 0.2728
```

=====

Record 2
Crystalline Mg2NpCoO8 at its relaxed geometry. Source: the Alexandria database, functional GGA+U.

The structure in CIF format:
```
data_Mg2NpCoO8
_symmetry_space_group_name_H-M 'C m m m'
_symmetry_Int_Tables_number 65
_symmetry_space_group_name_Hall '-C 2 2'
_cell_length_a 6.484
_cell_length_b 6.799
_cell_length_c 6.170
_cell_angle_alpha 90.00
_cell_angle_beta 90.00
_cell_angle_gamma 90.00
loop_
_atom_site_label
_atom_site_fract_x
_atom_site_fract_y
_atom_site_fract_z
Mg1 0.000 0.000 0.236
Np1 0.000 0.500 0.500
Co1 0.000 0.500 0.000
O1 0.000 0.311 0.237
O2 0.200 0.000 0.500
O3 0.228 0.000 0.000
```

=====

Number 1: uncorrected energy -7.4791 eV/atom. Number 2: uncorrected energy -6.9847 eV/atom.